Compound: IrS3Cl
Source: the Alexandria database
Functional: PBE
Structure: relaxed

a b c (Å): 4.5033 4.5033 4.5033
angles (deg): 90.00 90.00 90.00
With the nearest neighbours (Å) after each atom.
Positions (direct):
Ir  0.0000  0.0000  0.0000  12 S 3.18
S  0.0000  0.5000  0.5000  2 Cl 2.25
S  0.5000  0.0000  0.5000  2 Cl 2.25
S  0.5000  0.5000  0.0000  2 Cl 2.25
Cl  0.5000  0.5000  0.5000  6 S 2.25

Values from the calculation:
Symmetry: No. 221
Energy above the lowest structure with this stoichiometry, eV/atom: 1.173

---

Compound: SbIrS2Cl
Source: the Alexandria database
Functional: PBE
Structure: relaxed

a b c (Å): 4.7203 4.7203 4.6664
angles (deg): 90.00 90.00 90.00
With the nearest neighbours (Å) after each atom.
Positions (direct):
Sb  0.0000  0.0000  0.0000  8 S 3.32, 4 Cl 3.34
Ir  0.5000  0.5000  0.5000  2 Cl 2.33, 4 S 2.36
S  0.0000  0.5000  0.5000  2 Ir 2.36
S  0.5000  0.0000  0.5000  2 Ir 2.36
Cl  0.5000  0.5000  0.0000  2 Ir 2.33

Values from the calculation:
Symmetry: No. 123
Energy above the lowest structure with this stoichiometry, eV/atom: 0.000

---

Compound: ScIrS2Cl
Source: the Alexandria database
Functional: PBE
Structure: relaxed

a b c (Å): 4.9792 4.9792 4.6924
angles (deg): 90.00 90.00 90.00
With the nearest neighbours (Å) after each atom.
Positions (direct):
Sc  0.0000  0.0000  0.0000  2 Cl 2.35, 4 S 2.49
Ir  0.5000  0.5000  0.5000  8 S 3.42, 4 Cl 3.52
S  0.0000  0.5000  0.0000  2 Sc 2.49
S  0.5000  0.0000  0.0000  2 Sc 2.49
Cl  0.0000  0.0000  0.5000  2 Sc 2.35

Values from the calculation:
Symmetry: No. 123
Energy above the lowest structure with this stoichiometry, eV/atom: 0.411

---

Compound: ScIrS2Cl
Source: the Alexandria database
Functional: PBE
Structure: relaxed

a b c (Å): 4.7143 4.7143 4.6015
angles (deg): 90.00 90.00 90.00
With the nearest neighbours (Å) after each atom.
Positions (direct):
Sc  0.0000  0.0000  0.0000  8 S 3.29, 4 Cl 3.33
Ir  0.5000  0.5000  0.5000  2 Cl 2.30, 4 S 2.36
S  0.0000  0.5000  0.5000  2 Ir 2.36
S  0.5000  0.0000  0.5000  2 Ir 2.36
Cl  0.5000  0.5000  0.0000  2 Ir 2.30

Values from the calculation:
Symmetry: No. 123
Energy above the lowest structure with this stoichiometry, eV/atom: 0.000

---

Compound: IrSeSCl2
Source: the Alexandria database
Functional: PBE
Structure: relaxed

a b c (Å): 4.7913 4.7913 5.1335
angles (deg): 90.00 90.00 90.00
With the nearest neighbours (Å) after each atom.
Positions (direct):
Ir  0.0000  0.0000  0.0000  4 S 3.39, 8 Cl 3.51
Se  0.5000  0.5000  0.5000  4 Cl 2.40, 2 S 2.57
S  0.5000  0.5000  0.0000  2 Se 2.57
Cl  0.0000  0.5000  0.5000  2 Se 2.40
Cl  0.5000  0.0000  0.5000  2 Se 2.40

Values from the calculation:
Symmetry: No. 123
Energy above the lowest structure with this stoichiometry, eV/atom: 0.797

---

Compound: IrSeSCl2
Source: the Alexandria database
Functional: PBE
Structure: relaxed

a b c (Å): 4.8402 4.8402 4.5767
angles (deg): 90.00 90.00 90.00
With the nearest neighbours (Å) after each atom.
Positions (direct):
Ir  0.0000  0.0000  0.0000  2 S 2.29, 4 Cl 2.42
Se  0.5000  0.5000  0.5000  8 Cl 3.33, 4 S 3.42
S  0.0000  0.0000  0.5000  2 Ir 2.29
Cl  0.0000  0.5000  0.0000  2 Ir 2.42
Cl  0.5000  0.0000  0.0000  2 Ir 2.42

Values from the calculation:
Symmetry: No. 123
Energy above the lowest structure with this stoichiometry, eV/atom: 0.000

---

Compound: SiIrS2Cl
Source: the Alexandria database
Functional: PBE
Structure: relaxed

a b c (Å): 4.5609 4.5609 4.2441
angles (deg): 90.00 90.00 90.00
With the nearest neighbours (Å) after each atom.
Positions (direct):
Si  0.0000  0.0000  0.0000  2 Cl 2.12, 4 S 2.28
Ir  0.5000  0.5000  0.5000  8 S 3.12, 4 Cl 3.23
S  0.0000  0.5000  0.0000  2 Si 2.28
S  0.5000  0.0000  0.0000  2 Si 2.28
Cl  0.0000  0.0000  0.5000  2 Si 2.12

Values from the calculation:
Symmetry: No. 123
Energy above the lowest structure with this stoichiometry, eV/atom: 0.331

---

Compound: SiIrS2Cl
Source: the Alexandria database
Functional: PBE
Structure: relaxed

a b c (Å): 4.6773 4.6773 4.7102
angles (deg): 90.00 90.00 90.00
With the nearest neighbours (Å) after each atom.
Positions (direct):
Si  0.0000  0.0000  0.0000  4 Cl 3.31, 8 S 3.32
Ir  0.5000  0.5000  0.5000  4 S 2.34, 2 Cl 2.36
S  0.0000  0.5000  0.5000  2 Ir 2.34
S  0.5000  0.0000  0.5000  2 Ir 2.34
Cl  0.5000  0.5000  0.0000  2 Ir 2.36

Values from the calculation:
Symmetry: No. 123
Energy above the lowest structure with this stoichiometry, eV/atom: 0.000

---

Compound: Sm3IrSCl
Source: the Alexandria database
Functional: PBE
Structure: relaxed

a b c (Å): 8.0568 4.0626 10.1624
angles (deg): 90.00 93.56 90.00
With the nearest neighbours (Å) after each atom.
Positions (direct):
Sm  0.1524  0.2500  0.3889  2 Cl 2.76, 1 Ir 2.88
Sm  0.1556  0.2500  0.8180  3 Ir 2.85-3.08, 2 S 2.91
Sm  0.3231  0.7500  0.1100  3 S 2.81-2.95, 2 Ir 2.89, 1 Cl 2.92
Sm  0.6769  0.2500  0.8900  3 S 2.81-2.95, 2 Ir 2.89, 1 Cl 2.92
Sm  0.8444  0.7500  0.1820  3 Ir 2.85-3.08, 2 S 2.91
Sm  0.8476  0.7500  0.6111  2 Cl 2.76, 1 Ir 2.88
Ir  0.0687  0.2500  0.1090  6 Sm 2.85-3.08, 2 Ir 3.16
Ir  0.9313  0.7500  0.8910  6 Sm 2.85-3.08, 2 Ir 3.16
S  0.4144  0.7500  0.8472  5 Sm 2.81-2.95
S  0.5856  0.2500  0.1528  5 Sm 2.81-2.95
Cl  0.3839  0.7500  0.3965  3 Sm 2.76-2.92
Cl  0.6161  0.2500  0.6035  3 Sm 2.76-2.92

Values from the calculation:
Symmetry: No. 11

---

Compound: SnIrSCl2
Source: the Alexandria database
Functional: PBE
Structure: relaxed

a b c (Å): 4.7897 4.7897 4.7898
angles (deg): 90.00 90.00 90.00
With the nearest neighbours (Å) after each atom.
Positions (direct):
Sn  0.0000  0.0000  0.0000  4 S 3.39, 8 Cl 3.39
Ir  0.5000  0.5000  0.5000  4 Cl 2.39, 2 S 2.39
S  0.5000  0.5000  0.0000  2 Ir 2.39
Cl  0.0000  0.5000  0.5000  2 Ir 2.39
Cl  0.5000  0.0000  0.5000  2 Ir 2.39

Values from the calculation:
Symmetry: No. 123
Energy above the lowest structure with this stoichiometry, eV/atom: 0.000

---

Compound: SrIrS2Cl
Source: the Alexandria database
Functional: PBE
Structure: relaxed

a b c (Å): 4.7309 4.7309 4.9636
angles (deg): 90.00 90.00 90.00
With the nearest neighbours (Å) after each atom.
Positions (direct):
Sr  0.0000  0.0000  0.0000  4 Cl 3.35, 8 S 3.43
Ir  0.5000  0.5000  0.5000  4 S 2.37, 2 Cl 2.48
S  0.0000  0.5000  0.5000  2 Ir 2.37
S  0.5000  0.0000  0.5000  2 Ir 2.37
Cl  0.5000  0.5000  0.0000  2 Ir 2.48

Values from the calculation:
Symmetry: No. 123
Energy above the lowest structure with this stoichiometry, eV/atom: 0.000

---

Compound: SrIrS2Cl
Source: the Alexandria database
Functional: PBE
Structure: relaxed

a b c (Å): 5.5806 5.5806 5.3134
angles (deg): 90.00 90.00 90.00
With the nearest neighbours (Å) after each atom.
Positions (direct):
Sr  0.0000  0.0000  0.0000  2 Cl 2.66, 4 S 2.79
Ir  0.5000  0.5000  0.5000  8 S 3.85, 4 Cl 3.95
S  0.0000  0.5000  0.0000  2 Sr 2.79
S  0.5000  0.0000  0.0000  2 Sr 2.79
Cl  0.0000  0.0000  0.5000  2 Sr 2.66

Values from the calculation:
Symmetry: No. 123
Energy above the lowest structure with this stoichiometry, eV/atom: 1.643

---

Compound: TaIrSCl2
Source: the Alexandria database
Functional: PBE
Structure: relaxed

a b c (Å): 4.6721 4.6721 4.7674
angles (deg): 90.00 90.00 90.00
With the nearest neighbours (Å) after each atom.
Positions (direct):
Ta  0.0000  0.0000  0.0000  4 S 3.30, 8 Cl 3.34
Ir  0.5000  0.5000  0.5000  4 Cl 2.34, 2 S 2.38
S  0.5000  0.5000  0.0000  2 Ir 2.38
Cl  0.0000  0.5000  0.5000  2 Ir 2.34
Cl  0.5000  0.0000  0.5000  2 Ir 2.34

Values from the calculation:
Symmetry: No. 123
Energy above the lowest structure with this stoichiometry, eV/atom: 0.299

---

Compound: TaIrSCl2
Source: the Alexandria database
Functional: PBE
Structure: relaxed

a b c (Å): 4.7881 4.7881 4.8160
angles (deg): 90.00 90.00 90.00
With the nearest neighbours (Å) after each atom.
Positions (direct):
Ta  0.0000  0.0000  0.0000  4 Cl 2.39, 2 S 2.41
Ir  0.5000  0.5000  0.5000  4 S 3.39, 8 Cl 3.40
S  0.0000  0.0000  0.5000  2 Ta 2.41
Cl  0.0000  0.5000  0.0000  2 Ta 2.39
Cl  0.5000  0.0000  0.0000  2 Ta 2.39

Values from the calculation:
Symmetry: No. 123
Energy above the lowest structure with this stoichiometry, eV/atom: 0.000

---

Compound: TaIrS2Cl
Source: the Alexandria database
Functional: PBE
Structure: relaxed

a b c (Å): 4.6665 4.6665 4.5587
angles (deg): 90.00 90.00 90.00
With the nearest neighbours (Å) after each atom.
Positions (direct):
Ta  0.0000  0.0000  0.0000  8 S 3.26, 4 Cl 3.30
Ir  0.5000  0.5000  0.5000  2 Cl 2.28, 4 S 2.33
S  0.0000  0.5000  0.5000  2 Ir 2.33
S  0.5000  0.0000  0.5000  2 Ir 2.33
Cl  0.5000  0.5000  0.0000  2 Ir 2.28

Values from the calculation:
Symmetry: No. 123
Energy above the lowest structure with this stoichiometry, eV/atom: 0.237

---

Compound: TaIrS2Cl
Source: the Alexandria database
Functional: PBE
Structure: relaxed

a b c (Å): 4.7897 4.7897 4.7030
angles (deg): 90.00 90.00 90.00
With the nearest neighbours (Å) after each atom.
Positions (direct):
Ta  0.0000  0.0000  0.0000  2 Cl 2.35, 4 S 2.39
Ir  0.5000  0.5000  0.5000  8 S 3.36, 4 Cl 3.39
S  0.0000  0.5000  0.0000  2 Ta 2.39
S  0.5000  0.0000  0.0000  2 Ta 2.39
Cl  0.0000  0.0000  0.5000  2 Ta 2.35

Values from the calculation:
Symmetry: No. 123
Energy above the lowest structure with this stoichiometry, eV/atom: 0.000

---

Compound: TcIr2SCl
Source: the Alexandria database
Functional: PBE
Structure: relaxed

a b c (Å): 4.8330 4.8330 4.4478
angles (deg): 90.00 90.00 90.00
With the nearest neighbours (Å) after each atom.
Positions (direct):
Tc  0.0000  0.0000  0.0000  2 S 2.22, 4 Ir 2.42
Ir  0.0000  0.5000  0.0000  2 Tc 2.42
Ir  0.5000  0.0000  0.0000  2 Tc 2.42
S  0.0000  0.0000  0.5000  2 Tc 2.22
Cl  0.5000  0.5000  0.5000  8 Ir 3.28, 4 S 3.42

Values from the calculation:
Symmetry: No. 123

---

Compound: TcIrSCl2
Source: the Alexandria database
Functional: PBE
Structure: relaxed

a b c (Å): 4.7951 4.7951 4.6913
angles (deg): 90.00 90.00 90.00
With the nearest neighbours (Å) after each atom.
Positions (direct):
Tc  0.0000  0.0000  0.0000  8 Cl 3.35, 4 S 3.39
Ir  0.5000  0.5000  0.5000  2 S 2.35, 4 Cl 2.40
S  0.5000  0.5000  0.0000  2 Ir 2.35
Cl  0.0000  0.5000  0.5000  2 Ir 2.40
Cl  0.5000  0.0000  0.5000  2 Ir 2.40

Values from the calculation:
Symmetry: No. 123
Energy above the lowest structure with this stoichiometry, eV/atom: 0.000

---

Compound: TcIrSCl2
Source: the Alexandria database
Functional: PBE
Structure: relaxed

a b c (Å): 4.8328 4.8328 4.4901
angles (deg): 90.00 90.00 90.00
With the nearest neighbours (Å) after each atom.
Positions (direct):
Tc  0.0000  0.0000  0.0000  2 S 2.25, 4 Cl 2.42
Ir  0.5000  0.5000  0.5000  8 Cl 3.30, 4 S 3.42
S  0.0000  0.0000  0.5000  2 Tc 2.25
Cl  0.0000  0.5000  0.0000  2 Tc 2.42
Cl  0.5000  0.0000  0.0000  2 Tc 2.42

Values from the calculation:
Symmetry: No. 123
Energy above the lowest structure with this stoichiometry, eV/atom: 0.220

---

Compound: TeIrSCl2
Source: the Alexandria database
Functional: PBE
Structure: relaxed

a b c (Å): 5.1391 5.1391 5.3315
angles (deg): 90.00 90.00 90.00
With the nearest neighbours (Å) after each atom.
Positions (direct):
Te  0.0000  0.0000  0.0000  4 Cl 2.57, 2 S 2.67
Ir  0.5000  0.5000  0.5000  4 S 3.63, 8 Cl 3.70
S  0.0000  0.0000  0.5000  2 Te 2.67
Cl  0.0000  0.5000  0.0000  2 Te 2.57
Cl  0.5000  0.0000  0.0000  2 Te 2.57

Values from the calculation:
Symmetry: No. 123
Energy above the lowest structure with this stoichiometry, eV/atom: 0.861

---

How do the records compare in electronic total energy? In the order shown, they have -2.805, -4.335, -4.815, -5.225, -2.780, -3.577, -3.979, -4.309, -6.120, -4.126, -4.845, -3.202, -4.746, -5.045, -5.284, -5.520, -5.432, -4.600, -4.380, -2.782 eV/atom.
How do the records compare in N(E_F)? In the order shown, they have 4.20, 2.51, 4.54, 1.10, 6.35, 3.90, 5.55, 4.35, 3.60, 2.00, 5.16, 10.04, 5.09, 7.38, 3.78, 7.33, 6.65, 2.36, 9.49, 8.73 states/eV/f.u..
How do the records compare in energy relative to the elements, uncorrected? In the order shown, they have 1813, 282, 244, -167, 1254, 457, 898, 568, -1288, 11, -716, 927, 961, 662, 879, 643, 1380, 810, 1030, 1182 meV/atom.